Entry from Alexandria via LeMat-Bulk: a relaxed La3Tb2Pr6 crystal (PBE).

ΔE to the lowest computed polymorph: 0.00 kJ/mol of atoms
symmetry: P-1 (2)
spin magnetization: 0.00 μB/f.u.
electronic total energy: -0.1710 Ha/atom
theoretical density: 6.54 g/cm³
ΔE_f: 139 meV per atom

Cell: 7.133 8.682 17.653 Å, 36.68 74.35 103.09°
Atoms (fractional coordinates):
Pr: 0.797 0.088 0.452
Pr: 0.631 0.265 0.723
Pr: 0.203 0.912 0.548
Pr: 0.196 0.697 0.823
Pr: 0.369 0.735 0.277
Pr: 0.804 0.303 0.177
La: 0.817 0.693 0.336
La: 0.183 0.307 0.664
La: 0.000 0.000 0.000
Tb: 0.354 0.360 0.167
Tb: 0.646 0.640 0.833

---

Entry from Alexandria via LeMat-Bulk: a relaxed BaAlSi2Te8 crystal (PBE).

energy relative to the elements, uncorrected: -0.30 eV per atom
symmetry: P-3 (147)
spin magnetization: 0.00 μB/f.u.
electronic total energy: -0.1386 Ha/atom
theoretical density: 5.34 g/cm³

Cell: 6.576 6.576 10.310 Å, 90.00 90.00 120.00°
Atoms (fractional coordinates):
Te: 0.333 0.667 0.991
Te: 0.047 0.711 0.319
Te: 0.667 0.333 0.009
Te: 0.336 0.047 0.681
Te: 0.953 0.289 0.681
Te: 0.711 0.664 0.681
Te: 0.664 0.953 0.319
Te: 0.289 0.336 0.319
Ba: 0.000 0.000 0.000
Si: 0.667 0.333 0.252
Si: 0.333 0.667 0.748
Al: 0.000 0.000 0.500

---

Entry from Alexandria via LeMat-Bulk: a relaxed Nd7GaCl12 crystal (PBE).

energy relative to the elements, uncorrected: -1.89 eV per atom
symmetry: R-3 (148)
spin magnetization: 0.00 μB/f.u.
electronic total energy: -0.1772 Ha/atom
theoretical density: 4.02 g/cm³

Cell: 9.721 9.185 9.185 Å, 108.26 110.66 110.66°
Atoms (fractional coordinates):
Nd: 0.961 0.085 0.302
Nd: 0.123 0.783 0.085
Nd: 0.660 0.698 0.783
Nd: 0.877 0.217 0.915
Nd: 0.340 0.302 0.217
Nd: 0.039 0.915 0.698
Nd: 0.500 0.000 0.000
Cl: 0.079 0.860 0.386
Cl: 0.219 0.525 0.140
Cl: 0.306 0.386 0.525
Cl: 0.475 0.087 0.310
Cl: 0.612 0.777 0.087
Cl: 0.781 0.475 0.860
Cl: 0.165 0.690 0.777
Cl: 0.921 0.140 0.614
Cl: 0.694 0.614 0.475
Cl: 0.388 0.223 0.913
Cl: 0.525 0.913 0.690
Cl: 0.835 0.310 0.223
Ga: 0.000 0.000 0.000

---

Entry from Alexandria via LeMat-Bulk: a relaxed RbRuOF2 crystal (PBE).

ΔE to the lowest computed polymorph: 0.00 kJ/mol of atoms
energy relative to the elements, uncorrected: -1.63 eV per atom
symmetry: P4/mmm (123)
spin magnetization: 0.95 μB/f.u.
electronic total energy: -0.1991 Ha/atom
theoretical density: 5.30 g/cm³

Cell: 4.469 4.469 3.776 Å, 90.00 90.00 90.00°
Atoms (fractional coordinates):
F: 0.500 0.000 0.000
F: 0.000 0.500 0.000
O: 0.000 0.000 0.500
Ru: 0.000 0.000 0.000
Rb: 0.500 0.500 0.500

---

Number 1: DOS(E_F) 17.4 states/eV per cell. Number 2: DOS(E_F) 9.4 states/eV per cell. Number 3: DOS(E_F) 10.9 states/eV per cell. Number 4: DOS(E_F) 2.5 states/eV per cell.